(1)
# GGA-PBEsol Ba3YCl, relaxed
data_Ba3YCl
_chemical_formula_sum 'Ba3 Y1 Cl1'
_cell_length_a 6.034
_cell_length_b 6.034
_cell_length_c 6.034
_cell_angle_alpha 90.00
_cell_angle_beta 90.00
_cell_angle_gamma 90.00
_space_group_name_H-M_alt 'P m -3 m'
_space_group_IT_number 221
_space_group_name_Hall '-P 4 2 3'
loop_
_atom_site_label
_atom_site_type_symbol
_atom_site_fract_x
_atom_site_fract_y
_atom_site_fract_z
Ba1 Ba 0.000 0.000 0.500
Y1 Y 0.500 0.500 0.500
Cl1 Cl 0.000 0.000 0.000
# E_form (uncorrected) = -237 kJ/mol of formula units

***

(2)
# GGA-PBEsol Ba2YCl, relaxed
data_Ba2YCl
_chemical_formula_sum 'Ba2 Y1 Cl1'
_cell_length_a 3.787
_cell_length_b 3.787
_cell_length_c 10.380
_cell_angle_alpha 90.00
_cell_angle_beta 90.00
_cell_angle_gamma 90.00
_space_group_name_H-M_alt 'P 4/m m m'
_space_group_IT_number 123
_space_group_name_Hall '-P 4 2'
loop_
_atom_site_label
_atom_site_type_symbol
_atom_site_fract_x
_atom_site_fract_y
_atom_site_fract_z
Ba1 Ba 0.000 0.000 0.209
Y1 Y 0.500 0.500 0.500
Cl1 Cl 0.500 0.500 0.000
# E_form (uncorrected) = -248 kJ/mol of formula units

***

(3)
# GGA-PBEsol Ba2YCl, relaxed
data_Ba2YCl
_chemical_formula_sum 'Ba2 Y1 Cl1'
_cell_length_a 6.259
_cell_length_b 6.259
_cell_length_c 3.797
_cell_angle_alpha 90.00
_cell_angle_beta 90.00
_cell_angle_gamma 90.00
_space_group_name_H-M_alt 'P 4/m m m'
_space_group_IT_number 123
_space_group_name_Hall '-P 4 2'
loop_
_atom_site_label
_atom_site_type_symbol
_atom_site_fract_x
_atom_site_fract_y
_atom_site_fract_z
Ba1 Ba 0.000 0.500 0.000
Y1 Y 0.000 0.000 0.500
Cl1 Cl 0.500 0.500 0.500
# E_form (uncorrected) = -168 kJ/mol of formula units

***

(4)
# GGA-PBEsol BaYCl2, relaxed
data_BaYCl2
_chemical_formula_sum 'Ba2 Y2 Cl4'
_cell_length_a 3.640
_cell_length_b 3.699
_cell_length_c 19.404
_cell_angle_alpha 90.00
_cell_angle_beta 90.00
_cell_angle_gamma 90.00
_space_group_name_H-M_alt 'I m m 2'
_space_group_IT_number 44
_space_group_name_Hall 'I 2 -2'
loop_
_atom_site_label
_atom_site_type_symbol
_atom_site_fract_x
_atom_site_fract_y
_atom_site_fract_z
Ba1 Ba 0.000 0.000 0.000
Y1 Y 0.000 0.500 0.181
Cl1 Cl 0.000 0.000 0.420
Cl2 Cl 0.000 0.500 0.741
# E_form (uncorrected) = -528 kJ/mol of formula units